# ZrCoPdF2 (PBE+U, relaxed)
data_ZrCoPdF2
_cell_length_a 3.936
_cell_length_b 3.936
_cell_length_c 5.774
_cell_angle_alpha 90.00
_cell_angle_beta 90.00
_cell_angle_gamma 90.00
_symmetry_space_group_name_H-M 'P 4/m m m'
_symmetry_Int_Tables_number 123
_symmetry_space_group_name_Hall '-P 4 2'
loop_
_atom_site_label
_atom_site_type_symbol
_atom_site_fract_x
_atom_site_fract_y
_atom_site_fract_z
Zr1 Zr 0.000 0.000 0.000
Co1 Co 0.500 0.500 0.000
Pd1 Pd 0.000 0.000 0.500
F1 F 0.000 0.500 0.500
# * VASP energy: -21.95 eV/cell
# * spin magnetization: 0.0 μB/cell